# PmSmEr4

A relaxed structure of PmSmEr4 (PBE-GGA, the Alexandria database).

Its space group is P-1 (2). Its density is 8.45 g/cm3. The electronic total energy is -4.600 eV/atom.

Cell and atoms, written as POSCAR:
```
PmSmEr4
1.0
3.5500 0.0000 0.0000
-1.7607 5.8891 0.0000
-1.7735 -1.6074 9.0692
Pm Sm Er
1 1 4
direct
0.0000 0.0000 0.0000
0.5000 0.5000 0.5000
0.1664 0.4978 0.8335
0.3335 0.0019 0.6659
0.6665 0.9981 0.3341
0.8336 0.5022 0.1665
```